Record 1
Compound: Sm4Tm3Tl
Source: the Alexandria database
Functional: PBE
Structure: optimized geometry

abc: 6.2058 7.0845 11.2193
angles: 90.00 90.00 90.00
Element x y z (fractional)
Sm 0.9900 0.1324 0.2313
Sm 0.1206 0.8686 0.5000
Sm 0.6721 0.1308 0.5000
Sm 0.9900 0.1324 0.7687
Sm 0.4900 0.8676 0.7313
Sm 0.4900 0.8676 0.2687
Sm 0.6206 0.1314 0.0000
Sm 0.1721 0.8692 0.0000
Tm 0.6502 0.6292 0.0000
Tm 0.4704 0.3834 0.7467
Tm 0.9704 0.6166 0.2467
Tm 0.9704 0.6166 0.7533
Tm 0.1502 0.3708 0.5000
Tm 0.4704 0.3834 0.2533
Tl 0.6516 0.6058 0.5000
Tl 0.1516 0.3942 0.0000

energy of formation: -0.05 eV/atom
space-group type: Pmn2_1 (31)
DOS(E_F): 21.092 states/eV per cell



Record 2
Compound: SmTm4Tl7
Source: the Alexandria database
Functional: PBE
Structure: optimized geometry

abc: 5.7123 9.8131 7.2779
angles: 81.29 66.89 73.08
Element x y z (fractional)
Tm 0.2823 0.3272 0.1082
Tm 0.4163 0.7831 0.3843
Tm 0.7177 0.6728 0.8918
Tm 0.5837 0.2169 0.6157
Tl 0.5000 0.0000 0.0000
Tl 0.7865 0.8940 0.5330
Tl 0.0802 0.6686 0.1709
Tl 0.9198 0.3314 0.8291
Tl 0.6355 0.4520 0.2770
Tl 0.2135 0.1060 0.4670
Tl 0.3645 0.5480 0.7230
Sm 0.0000 0.0000 0.0000

energy of formation: -0.08 eV/atom
space-group type: C2/m (12)
DOS(E_F): 6.898 states/eV per cell



Record 3
Compound: SmTm3Tl2
Source: the Alexandria database
Functional: PBE
Structure: optimized geometry

abc: 5.3826 7.4346 9.5723
angles: 112.85 106.33 90.00
Element x y z (fractional)
Sm 0.0000 0.5000 0.0000
Sm 0.0000 0.0000 0.0000
Tl 0.3457 0.8459 0.6918
Tl 0.3461 0.3459 0.6918
Tl 0.6539 0.6541 0.3082
Tl 0.6543 0.1541 0.3082
Tm 0.5000 0.7500 0.0000
Tm 0.5000 0.2500 0.0000
Tm 0.1790 0.9290 0.3580
Tm 0.8210 0.0710 0.6420
Tm 0.8210 0.5710 0.6420
Tm 0.1790 0.4290 0.3580

energy of formation: -0.17 eV/atom
space-group type: Cmmm (65)
DOS(E_F): 14.589 states/eV per cell



Record 4
Compound: SmTm5Tl6
Source: the Alexandria database
Functional: PBE
Structure: optimized geometry

abc: 5.3449 9.2609 9.2609
angles: 120.21 106.83 106.83
Element x y z (fractional)
Tl 0.7459 0.5769 0.9153
Tl 0.2541 0.0847 0.4231
Tl 0.7459 0.9153 0.5769
Tl 0.2541 0.4231 0.0847
Tl 0.2432 0.7427 0.7427
Tl 0.7568 0.2573 0.2573
Tm 0.5000 0.1643 0.8357
Tm 0.0000 0.3329 0.6671
Tm 0.0000 0.6671 0.3329
Tm 0.5000 0.8357 0.1643
Tm 0.5000 0.5000 0.5000
Sm 0.0000 0.0000 0.0000

energy of formation: -0.30 eV/atom
space-group type: C2/m (12)
DOS(E_F): 9.613 states/eV per cell



Record 5
Compound: Sm6Tm3Tl
Source: the Alexandria database
Functional: PBE
Structure: optimized geometry

abc: 3.5915 12.2931 14.7050
angles: 93.86 90.00 90.00
Element x y z (fractional)
Sm 0.2500 0.3794 0.5472
Sm 0.7500 0.1122 0.0019
Sm 0.2500 0.7012 0.2520
Sm 0.7500 0.2988 0.7480
Sm 0.2500 0.8086 0.6075
Sm 0.7500 0.7944 0.8120
Sm 0.2500 0.8878 0.9981
Sm 0.2500 0.5632 0.8892
Sm 0.2500 0.2056 0.1880
Sm 0.7500 0.4368 0.1108
Sm 0.7500 0.6206 0.4528
Sm 0.7500 0.1914 0.3925
Tl 0.7500 0.6879 0.0578
Tl 0.2500 0.3121 0.9422
Tm 0.7500 0.9505 0.1978
Tm 0.7500 0.9003 0.4195
Tm 0.7500 0.5734 0.6803
Tm 0.2500 0.0495 0.8022
Tm 0.2500 0.4266 0.3197
Tm 0.2500 0.0997 0.5805

energy of formation: 0.02 eV/atom
space-group type: P2_1/m (11)
DOS(E_F): 28.166 states/eV per cell



Record 6
Compound: Sm2TmTl2
Source: the Alexandria database
Functional: PBE
Structure: optimized geometry

abc: 4.8427 6.1829 6.1829
angles: 67.56 66.94 66.94
Element x y z (fractional)
Sm 0.1941 0.3059 0.3059
Sm 0.8059 0.6941 0.6941
Tl 0.5000 0.7214 0.2786
Tl 0.5000 0.2786 0.7214
Tm 0.0000 0.0000 0.0000

energy of formation: -0.27 eV/atom
space-group type: Immm (71)
DOS(E_F): 6.076 states/eV per cell



Record 7
Compound: SmTm8Tl2
Source: the Alexandria database
Functional: PBE
Structure: optimized geometry

abc: 5.5379 8.6955 8.6955
angles: 119.45 101.57 101.57
Element x y z (fractional)
Tm 0.8794 0.9044 0.6774
Tm 0.8794 0.6774 0.9044
Tm 0.2971 0.5955 0.5955
Tm 0.1206 0.3226 0.0956
Tm 0.5000 0.2182 0.7818
Tm 0.7029 0.4045 0.4045
Tm 0.5000 0.7818 0.2182
Tm 0.1206 0.0956 0.3226
Tl 0.0000 0.6937 0.3063
Tl 0.0000 0.3063 0.6937
Sm 0.5000 0.0000 0.0000

energy of formation: 0.01 eV/atom
space-group type: C2/m (12)
DOS(E_F): 13.933 states/eV per cell



Record 8
Compound: Sm12Tm3Tl
Source: the Alexandria database
Functional: PBE
Structure: optimized geometry

abc: 5.0251 5.0251 20.4036
angles: 90.00 90.00 90.00
Element x y z (fractional)
Sm 0.5000 0.5000 0.2470
Sm 0.5000 0.5000 0.7530
Sm 0.5000 0.0000 0.3739
Sm 0.5000 0.0000 0.6261
Sm 0.0000 0.5000 0.6261
Sm 0.5000 0.5000 0.0000
Sm 0.5000 0.0000 0.8776
Sm 0.0000 0.5000 0.1224
Sm 0.0000 0.5000 0.3739
Sm 0.0000 0.5000 0.8776
Sm 0.5000 0.0000 0.1224
Sm 0.5000 0.5000 0.5000
Tm 0.0000 0.0000 0.2488
Tm 0.0000 0.0000 0.5000
Tm 0.0000 0.0000 0.7512
Tl 0.0000 0.0000 0.0000

energy of formation: -0.03 eV/atom
space-group type: P4/mmm (123)
DOS(E_F): 22.247 states/eV per cell



Record 9
Compound: SmTm3Tl4
Source: the Alexandria database
Functional: PBE
Structure: optimized geometry

abc: 3.4942 7.0353 10.2029
angles: 110.17 99.86 90.00
Element x y z (fractional)
Tl 0.6283 0.4101 0.2567
Tl 0.3717 0.5899 0.7433
Tl 0.3717 0.1535 0.7435
Tl 0.6283 0.8465 0.2565
Sm 0.5000 0.0000 0.0000
Tm 0.7774 0.7776 0.5548
Tm 0.0000 0.5000 0.0000
Tm 0.2226 0.2224 0.4452

energy of formation: -0.19 eV/atom
space-group type: Immm (71)
DOS(E_F): 6.328 states/eV per cell



Record 10
Compound: Sm3Tm5Tl12
Source: the Alexandria database
Functional: PBE
Structure: optimized geometry

abc: 15.5035 15.5035 15.5035
angles: 109.47 109.47 109.47
Element x y z (fractional)
Tl 0.3401 0.7746 0.4151
Tl 0.0750 0.1599 0.4345
Tl 0.6599 0.4345 0.5750
Tl 0.7254 0.1405 0.0655
Tl 0.1405 0.4151 0.0750
Tl 0.5849 0.7254 0.6599
Tl 0.0849 0.9250 0.3595
Tl 0.5655 0.3401 0.9250
Tl 0.8401 0.9250 0.0655
Tl 0.4250 0.0655 0.3401
Tl 0.5750 0.6405 0.4151
Tl 0.6599 0.2254 0.5849
Tl 0.9151 0.0750 0.6405
Tl 0.2746 0.8595 0.9345
Tl 0.8595 0.2746 0.4345
Tl 0.7746 0.3401 0.9151
Tl 0.4151 0.1405 0.5750
Tl 0.0849 0.1599 0.2254
Tl 0.1599 0.0750 0.9345
Tl 0.0655 0.4250 0.8401
Tl 0.4151 0.2746 0.3401
Tl 0.4345 0.6599 0.0750
Tl 0.0655 0.6405 0.7254
Tl 0.3595 0.9345 0.7746
Tl 0.9345 0.5750 0.1599
Tl 0.4250 0.3595 0.5849
Tl 0.3401 0.5655 0.4250
Tl 0.0750 0.9151 0.1405
Tl 0.7746 0.4345 0.3595
Tl 0.6405 0.0655 0.2254
Tl 0.1599 0.0849 0.7254
Tl 0.8595 0.5849 0.9250
Tl 0.8401 0.9151 0.2746
Tl 0.5750 0.9345 0.6599
Tl 0.9250 0.0849 0.8595
Tl 0.7254 0.5849 0.1599
Tl 0.6405 0.5750 0.9151
Tl 0.2746 0.4151 0.8401
Tl 0.2254 0.5655 0.6405
Tl 0.9250 0.8401 0.5655
Tl 0.5849 0.8595 0.4250
Tl 0.2254 0.6599 0.0849
Tl 0.9151 0.8401 0.7746
Tl 0.4345 0.7746 0.8595
Tl 0.5655 0.2254 0.1405
Tl 0.3595 0.4250 0.0849
Tl 0.1405 0.7254 0.5655
Tl 0.9345 0.3595 0.2746
Sm 0.1250 0.2500 0.8750
Sm 0.7500 0.3750 0.1250
Sm 0.7500 0.8750 0.6250
Sm 0.2500 0.1250 0.3750
Sm 0.8750 0.7500 0.1250
Sm 0.1250 0.8750 0.7500
Sm 0.6250 0.3750 0.7500
Sm 0.8750 0.1250 0.2500
Sm 0.2500 0.6250 0.8750
Sm 0.3750 0.6250 0.2500
Sm 0.6250 0.2500 0.3750
Sm 0.3750 0.7500 0.6250
Tm 0.5000 0.0000 0.5000
Tm 0.3750 0.2500 0.1250
Tm 0.0000 0.5000 0.5000
Tm 0.5000 0.0000 0.0000
Tm 0.5000 0.5000 0.0000
Tm 0.7500 0.1250 0.8750
Tm 0.2500 0.8750 0.1250
Tm 0.1250 0.3750 0.2500
Tm 0.1250 0.7500 0.3750
Tm 0.8750 0.2500 0.6250
Tm 0.8750 0.6250 0.7500
Tm 0.3750 0.1250 0.7500
Tm 0.0000 0.5000 0.0000
Tm 0.6250 0.8750 0.2500
Tm 0.7500 0.6250 0.3750
Tm 0.6250 0.7500 0.8750
Tm 0.0000 0.0000 0.5000
Tm 0.0000 0.0000 0.0000
Tm 0.2500 0.3750 0.6250
Tm 0.5000 0.5000 0.5000

energy of formation: 0.22 eV/atom
space-group type: Ia-3d (230)
DOS(E_F): 47.909 states/eV per cell



Record 11
Compound: Sm3Tm2Tl
Source: the Alexandria database
Functional: PBE
Structure: optimized geometry

abc: 6.8017 6.4402 9.2634
angles: 98.63 111.54 90.00
Element x y z (fractional)
Sm 0.2870 0.5413 0.3382
Sm 0.0512 0.0413 0.3382
Sm 0.7130 0.4587 0.6618
Sm 0.2259 0.7500 0.0000
Sm 0.9488 0.9587 0.6618
Sm 0.7741 0.2500 0.0000
Tl 0.7149 0.7500 0.0000
Tl 0.2851 0.2500 0.0000
Tm 0.7721 0.5704 0.3252
Tm 0.5531 0.0704 0.3252
Tm 0.4469 0.9296 0.6748
Tm 0.2279 0.4296 0.6748

energy of formation: -0.07 eV/atom
space-group type: C2/c (15)
DOS(E_F): 11.436 states/eV per cell



Record 12
Compound: Sm3Tm3Tl
Source: the Alexandria database
Functional: PBE
Structure: optimized geometry

abc: 5.5389 9.4533 9.4540
angles: 120.02 90.00 90.00
Element x y z (fractional)
Tm 0.2500 0.9406 0.7655
Tm 0.7500 0.0594 0.2345
Tm 0.2500 0.2345 0.1753
Tm 0.7500 0.7655 0.8247
Tm 0.7500 0.1751 0.9408
Tm 0.2500 0.8249 0.0592
Tl 0.2500 0.6667 0.3332
Tl 0.7500 0.3333 0.6668
Sm 0.2500 0.1063 0.4745
Sm 0.2500 0.5252 0.6319
Sm 0.7500 0.6320 0.1065
Sm 0.2500 0.3680 0.8935
Sm 0.7500 0.8937 0.5255
Sm 0.7500 0.4748 0.3681

energy of formation: -0.07 eV/atom
space-group type: P6_3/m (176)
DOS(E_F): 20.117 states/eV per cell



Record 13
Compound: SmTm5Tl5
Source: the Alexandria database
Functional: PBE
Structure: optimized geometry

abc: 5.9121 8.4427 7.1217
angles: 98.48 90.00 110.50
Element x y z (fractional)
Tl 0.1724 0.3447 0.2951
Tl 0.8231 0.6462 0.2622
Tl 0.5000 0.0000 0.0000
Tl 0.1769 0.3538 0.7378
Tl 0.8276 0.6553 0.7049
Tm 0.6769 0.3538 0.9135
Tm 0.6301 0.2602 0.4046
Tm 0.3231 0.6462 0.0865
Tm 0.0000 0.0000 0.5000
Tm 0.3699 0.7398 0.5954
Sm 0.0000 0.0000 0.0000

energy of formation: -0.07 eV/atom
space-group type: C2/m (12)
DOS(E_F): 8.722 states/eV per cell



Record 14
Compound: Sm5Tm3Tl2
Source: the Alexandria database
Functional: PBE
Structure: optimized geometry

abc: 6.5057 10.6441 10.6441
angles: 92.57 72.21 72.21
Element x y z (fractional)
Sm 0.2500 0.5000 0.5000
Sm 0.7500 0.5000 0.5000
Sm 0.5025 0.7475 0.7475
Sm 0.1040 0.5651 0.2268
Sm 0.4975 0.2525 0.2525
Sm 0.0025 0.7475 0.7475
Sm 0.9975 0.2525 0.2525
Sm 0.3960 0.7732 0.4349
Sm 0.6040 0.2268 0.5651
Sm 0.8960 0.4349 0.7732
Tm 0.2500 0.0000 0.0000
Tm 0.3763 0.3300 0.9174
Tm 0.6237 0.6700 0.0826
Tm 0.8763 0.9174 0.3300
Tm 0.1237 0.0826 0.6700
Tm 0.7500 0.0000 0.0000
Tl 0.8762 0.2636 0.9840
Tl 0.3762 0.9840 0.2636
Tl 0.6238 0.0160 0.7364
Tl 0.1238 0.7364 0.0160

energy of formation: 0.18 eV/atom
space-group type: Ibam (72)
DOS(E_F): 26.982 states/eV per cell



Record 15
Compound: SmTm5Tl2
Source: the Alexandria database
Functional: PBE
Structure: optimized geometry

abc: 3.6215 8.3433 8.3433
angles: 76.15 77.47 77.47
Element x y z (fractional)
Tm 0.6333 0.1395 0.5939
Tm 0.6333 0.5939 0.1395
Tm 0.3667 0.4061 0.8605
Tm 0.0000 0.5000 0.5000
Tm 0.3667 0.8605 0.4061
Sm 0.0000 0.0000 0.0000
Tl 0.7410 0.7590 0.7590
Tl 0.2590 0.2410 0.2410

energy of formation: -0.12 eV/atom
space-group type: Immm (71)
DOS(E_F): 10.698 states/eV per cell



Record 16
Compound: Sm5TmTl4
Source: the Alexandria database
Functional: PBE
Structure: optimized geometry

abc: 3.6826 3.6826 21.9018
angles: 90.00 90.00 90.00
Element x y z (fractional)
Sm 0.5000 0.5000 0.8884
Sm 0.5000 0.5000 0.3051
Sm 0.5000 0.5000 0.5000
Sm 0.5000 0.5000 0.6949
Sm 0.5000 0.5000 0.1116
Tl 0.0000 0.0000 0.5974
Tl 0.0000 0.0000 0.4026
Tl 0.0000 0.0000 0.2081
Tl 0.0000 0.0000 0.7919
Tm 0.0000 0.0000 0.0000

energy of formation: -0.29 eV/atom
space-group type: P4/mmm (123)
DOS(E_F): 11.213 states/eV per cell



Record 17
Compound: SmTm6Tl2
Source: the Alexandria database
Functional: PBE
Structure: optimized geometry

abc: 3.7093 6.5754 11.7669
angles: 75.01 80.93 73.62
Element x y z (fractional)
Tm 0.3106 0.7974 0.5814
Tm 0.9887 0.6746 0.3481
Tm 0.3136 0.4986 0.8743
Tm 0.0113 0.3254 0.6519
Tm 0.6894 0.2026 0.4186
Tm 0.6864 0.5014 0.1257
Tl 0.3573 0.0697 0.2158
Tl 0.6427 0.9303 0.7842
Sm 0.0000 0.0000 0.0000

energy of formation: -0.14 eV/atom
space-group type: C2/m (12)
DOS(E_F): 11.646 states/eV per cell